VASP calculation (GGA-PBE) on an optimized crystal structure of Cs2AlPbO4.

Cell: 12.5283 10.9692 7.2938 Å, 84.06 60.56 35.38°
Closest atoms and distances in Å follow each position.
Fractional coordinates of all 16 atoms:
1 Cs 0.0498 0.0498 0.7002  4 O 3.12-3.48
2 Cs 0.2998 0.2998 0.9502  4 O 3.12-3.48
3 Cs 0.7002 0.7002 0.0498  4 O 3.12-3.48
4 Cs 0.9502 0.9502 0.2998  4 O 3.12-3.48
5 Al 0.1250 0.1250 0.1250  4 O 1.80
6 Al 0.8750 0.8750 0.8750  4 O 1.80
7 Pb 0.3750 0.3750 0.3750  4 O 2.26
8 Pb 0.6250 0.6250 0.6250  4 O 2.26
9 O 0.0539 0.2881 0.3496  1 Al 1.80
10 O 0.1916 0.6504 0.7119  1 Al 1.80
11 O 0.2881 0.0539 0.8084  1 Al 1.80
12 O 0.3496 0.8084 0.0539  1 Al 1.80
13 O 0.6504 0.1916 0.9461  1 Al 1.80
14 O 0.7119 0.9461 0.1916  1 Al 1.80
15 O 0.8084 0.3496 0.2881  1 Al 1.80
16 O 0.9461 0.7119 0.6504  1 Al 1.80

Output
formation energy without anion corrections = -1646 meV/atom
calculated volume = 408 Å³/cell
total DFT energy (no corrections) = -5.269 eV/atom
N(E_F) = 2.6 states/eV/f.u.

***

VASP calculation (GGA-PBE) on an optimized crystal structure of ScCuGe.

Cell: 4.1855 4.1855 7.2670 Å, 106.81 106.81 59.96°
Closest atoms and distances in Å follow each position.
Fractional coordinates of all 6 atoms:
1 Sc 0.2318 0.2318 0.1951  3 Ge 2.76, 4 Cu 2.77-2.81
2 Sc 0.7682 0.7682 0.8049  3 Ge 2.76, 4 Cu 2.77-2.81
3 Cu 0.3685 0.3685 0.6057  4 Ge 2.52-2.70, 4 Sc 2.77-2.81, 3 Cu 2.81-2.82
4 Cu 0.6315 0.6315 0.3943  4 Ge 2.52-2.70, 4 Sc 2.77-2.81, 3 Cu 2.81-2.82
5 Ge 0.0000 0.0000 0.5000  6 Cu 2.52
6 Ge 0.5000 0.5000 0.0000  2 Cu 2.70, 6 Sc 2.76

Output
calculated formation energy = -0.5165 eV/atom
calculated volume = 104 Å³/cell
total DFT energy (no corrections) = -5.531 eV/atom
N(E_F) = 1.0 states/eV/f.u.

***

VASP calculation (GGA-PBE) on an optimized crystal structure of Sr2MgSiAu6.

Cell: 6.7587 6.7745 7.0883 Å, 89.81 63.70 60.21°
Closest atoms and distances in Å follow each position.
Fractional coordinates of all 10 atoms:
1 Sr 0.0648 0.2169 0.1554  10 Au 3.44-3.75
2 Sr 0.9352 0.7831 0.8446  10 Au 3.44-3.75
3 Mg 0.5000 0.5000 0.0000  6 Au 2.65-2.67
4 Si 0.5000 0.0000 0.5000  6 Au 2.45-2.47
5 Au 0.0107 0.2403 0.6901  1 Si 2.47, 1 Mg 2.67
6 Au 0.3857 0.3462 0.3549  1 Si 2.46, 1 Mg 2.66
7 Au 0.3957 0.7635 0.3492  1 Si 2.45, 1 Mg 2.65
8 Au 0.6043 0.2365 0.6508  1 Si 2.45, 1 Mg 2.65
9 Au 0.6143 0.6538 0.6451  1 Si 2.46, 1 Mg 2.66
10 Au 0.9893 0.7597 0.3099  1 Si 2.47, 1 Mg 2.67

Output
formation energy without anion corrections = -496 meV/atom
calculated volume = 242 Å³/cell
total DFT energy (no corrections) = -3.501 eV/atom
N(E_F) = 3.9 states/eV/f.u.

***

VASP calculation (GGA-PBE) on an optimized crystal structure of Pm12Cd5Hg2.

Cell: 8.3759 8.3759 8.5036 Å, 101.34 101.34 79.41°
Closest atoms and distances in Å follow each position.
Fractional coordinates of all 19 atoms:
1 Pm 0.1022 0.1022 0.2198  3 Cd 3.30-3.50, 7 Pm 3.55-3.68
2 Pm 0.1202 0.6686 0.1053  4 Cd 3.15-3.45, 1 Hg 3.28
3 Pm 0.1542 0.5078 0.6825  1 Hg 3.13, 2 Cd 3.24-3.36
4 Pm 0.3314 0.8798 0.8947  4 Cd 3.15-3.45, 1 Hg 3.28
5 Pm 0.3911 0.3911 0.3433  1 Cd 3.16, 2 Hg 3.31, 1 Pm 3.34
6 Pm 0.4922 0.8458 0.3175  1 Hg 3.13, 2 Cd 3.24-3.36
7 Pm 0.5078 0.1542 0.6825  1 Hg 3.13, 2 Cd 3.24-3.36
8 Pm 0.6089 0.6089 0.6567  1 Cd 3.16, 2 Hg 3.31, 1 Pm 3.34
9 Pm 0.6686 0.1202 0.1053  4 Cd 3.15-3.45, 1 Hg 3.28
10 Pm 0.8458 0.4922 0.3175  1 Hg 3.13, 2 Cd 3.24-3.36
11 Pm 0.8798 0.3314 0.8947  4 Cd 3.15-3.45, 1 Hg 3.28
12 Pm 0.8978 0.8978 0.7802  3 Cd 3.30-3.50, 7 Pm 3.55-3.68
13 Cd 0.1200 0.1200 0.6141  2 Hg 2.97, 2 Cd 3.15-3.20, 3 Pm 3.24-3.30
14 Cd 0.2678 0.2678 0.9713  2 Cd 2.94-3.15, 3 Pm 3.15-3.16
15 Cd 0.5000 0.5000 0.0000  2 Cd 2.94
16 Cd 0.7322 0.7322 0.0287  2 Cd 2.94-3.15, 3 Pm 3.15-3.16
17 Cd 0.8800 0.8800 0.3859  2 Hg 2.97, 2 Cd 3.15-3.20, 3 Pm 3.24-3.30
18 Hg 0.2334 0.7666 0.5000  2 Cd 2.97, 6 Pm 3.13-3.31
19 Hg 0.7666 0.2334 0.5000  2 Cd 2.97, 6 Pm 3.13-3.31

Output
calculated formation energy = -0.1802 eV/atom
calculated volume = 567 Å³/cell
total DFT energy (no corrections) = -3.453 eV/atom
N(E_F) = 21.3 states/eV/f.u.

***

The calculation returns the following ρ values, one per record and in order: 4.6; 5.8; 9.7; 7.9 Mg/m³.